# LiMo3N (GGA-PBE, optimized geometry)
# ΔE_f (raw) = 7.0 kJ per mole of atoms
data_LiMo3N
_cell_length_a 4.108
_cell_length_b 4.108
_cell_length_c 4.108
_cell_angle_alpha 90.00
_cell_angle_beta 90.00
_cell_angle_gamma 90.00
_symmetry_space_group_name_H-M 'P m -3 m'
_symmetry_Int_Tables_number 221
_symmetry_space_group_name_Hall '-P 4 2 3'
loop_
_atom_site_label
_atom_site_fract_x
_atom_site_fract_y
_atom_site_fract_z
Li1 0.000 0.000 0.000
Mo1 0.000 0.500 0.500
N1 0.500 0.500 0.500

# RbRe (GGA-PBE, optimized geometry)
# DFT formation energy = 1413 meV/atom
data_RbRe
_cell_length_a 14.7668
_cell_length_b 14.7668
_cell_length_c 3.4908
_cell_angle_alpha 90.00
_cell_angle_beta 90.00
_cell_angle_gamma 120.00
_symmetry_space_group_name_H-M 'P 63/m'
_symmetry_Int_Tables_number 176
_symmetry_space_group_name_Hall '-P 6c'
loop_
_atom_site_label
_atom_site_fract_x
_atom_site_fract_y
_atom_site_fract_z
Rb1 0.1793 0.4325 0.2500
Re1 0.0332 0.5581 0.2500

no.,polymorph energy (0 for the lowest one) (meV/atom)
1,0
2,696